# 1
GaPdBr3 | meta-GGA SCAN | single point on PBEsol structure

```
5
Lattice="-4.585 -1.515 1.518 1.223 -4.790 -1.086 1.761 -0.617 4.705" Properties=species:S:1:pos:R:3 pbc="T T T"
Br 0.612 -2.395 -0.543
Br -2.292 -0.758 0.759
Br 0.881 -0.308 2.352
Ga -0.800 -3.461 2.568
Pd 0.000 0.000 0.000
```

Calculated values
Energy relative to the elements, uncorrected in meV/atom: -336
Symmetry: No. 221
Total moment in μB per formula unit: 0.000

---

# 2
GaPtSeBr2 | meta-GGA SCAN | single point on PBEsol structure

```
5
Lattice="4.811 0.000 0.000 0.000 4.811 0.000 0.000 0.000 5.144" Properties=species:S:1:pos:R:3 pbc="T T T"
Br 0.000 2.406 0.000
Br 2.406 0.000 0.000
Ga 0.000 0.000 0.000
Se 0.000 0.000 2.572
Pt 2.406 2.406 2.572
```

Calculated values
Energy relative to the elements, uncorrected in meV/atom: 643
Symmetry: No. 123
Total moment in μB per formula unit: 1.455

---

# 3
Rb2TlGaBr6 | meta-GGA SCAN | single point on PBEsol structure

```
10
Lattice="-5.779 -2.433 -4.766 -5.174 -5.381 2.513 -7.453 2.085 1.464" Properties=species:S:1:pos:R:3 pbc="T T T"
Rb -4.601 -1.432 -0.197
Rb -13.804 -4.296 -0.592
Br -11.068 -3.099 1.987
Br -11.398 -1.493 -1.979
Br -7.008 -4.235 1.189
Br -8.249 -0.167 0.618
Br -7.337 -2.629 -2.776
Br -10.156 -5.561 -1.407
Ga 0.000 0.000 0.000
Tl -9.203 -2.864 -0.395
```

Calculated values
Energy relative to the elements, uncorrected in meV/atom: -1269
Symmetry: No. 225
Total moment in μB per formula unit: 0.000

---

# 4
Sc2GaRhBr | meta-GGA SCAN | single point on PBEsol structure

```
5
Lattice="-3.218 3.080 0.058 -2.487 -2.529 -3.678 -2.510 -2.689 3.546" Properties=species:S:1:pos:R:3 pbc="T T T"
Ga 0.000 0.000 0.000
Br -4.107 -1.069 -0.037
Sc -1.243 -1.264 -1.839
Sc -1.255 -1.345 1.773
Rh -1.609 1.540 0.029
```

Calculated values
Energy relative to the elements, uncorrected in meV/atom: -48
Symmetry: No. 123
Total moment in μB per formula unit: 0.005

---

# 5
GaRhSe2Br | meta-GGA SCAN | single point on PBEsol structure

```
5
Lattice="4.833 0.000 0.000 0.000 4.833 0.000 0.000 0.000 4.944" Properties=species:S:1:pos:R:3 pbc="T T T"
Br 0.000 0.000 2.472
Ga 0.000 0.000 0.000
Se 0.000 2.417 0.000
Se 2.417 0.000 0.000
Rh 2.417 2.417 2.472
```

Calculated values
Energy relative to the elements, uncorrected in meV/atom: 679
Symmetry: No. 123
Total moment in μB per formula unit: 2.664

---

# 6
Ga3SBr | meta-GGA SCAN | single point on PBEsol structure

```
5
Lattice="-1.367 -4.640 -1.551 4.833 -1.531 0.319 -0.759 -1.390 4.827" Properties=species:S:1:pos:R:3 pbc="T T T"
Ga 2.417 -0.765 0.160
Ga -0.379 -0.695 2.413
Ga -0.684 -2.320 -0.775
S 0.000 0.000 0.000
Br 1.354 -3.780 1.798
```

Calculated values
Energy relative to the elements, uncorrected in meV/atom: 214
Symmetry: No. 221
Total moment in μB per formula unit: 0.000

---

# 7
GaSBr2 | meta-GGA SCAN | single point on PBEsol structure

```
4
Lattice="-0.024 -3.164 1.647 0.239 -3.005 -1.907 9.044 -1.772 0.589" Properties=species:S:1:pos:R:3 pbc="T T T"
S 4.629 -3.970 0.164
Ga 0.000 0.000 0.000
Br 2.561 -6.094 -0.084
Br 6.698 -1.846 0.412
```

Calculated values
Energy relative to the elements, uncorrected in meV/atom: 533
Symmetry: No. 166
Total moment in μB per formula unit: 1.132
Distance to the lowest polymorph of the same formula in meV per atom: 586.9

---

# 8
GaSBr2 | meta-GGA SCAN | single point on PBEsol structure

```
8
Lattice="-4.405 0.140 -1.429 -0.099 -0.072 -7.210 -2.442 -6.755 -0.643" Properties=species:S:1:pos:R:3 pbc="T T T"
Ga 0.000 0.000 0.000
Ga -4.574 -3.309 -4.999
Br -4.368 -2.260 -7.409
Br -5.881 -4.323 -2.946
Br -4.274 -0.971 -3.817
Br -3.773 -5.681 -5.824
S -2.202 0.070 -0.715
S -2.372 -3.378 -4.284
```

Calculated values
Energy relative to the elements, uncorrected in meV/atom: -54
Symmetry: No. 122
Total moment in μB per formula unit: 1.100
Distance to the lowest polymorph of the same formula in meV per atom: 0.0

---

# 9
GaSb4Br4 | meta-GGA SCAN | single point on PBEsol structure

```
72
Lattice="-9.764 2.385 0.808 -1.282 -0.845 -12.998 -4.135 -17.453 1.542" Properties=species:S:1:pos:R:3 pbc="T T T"
Br -5.483 -11.048 -10.566
Br -8.112 -11.482 -3.430
Br -4.715 -2.004 -11.230
Br -4.937 -6.952 0.416
Br -2.798 -0.896 -6.994
Br -7.481 -9.811 0.632
Br -10.843 -14.158 -3.246
Br -14.022 -13.341 -5.083
Br -7.210 -15.070 -2.377
Br -8.688 -6.239 0.524
Br -10.674 1.537 -9.724
Br -3.774 -6.678 -3.261
Br -14.003 -12.264 -9.388
Br -1.505 -3.864 -4.577
Br -7.160 -7.710 -2.880
Br -11.885 -14.689 1.388
Br -11.557 -9.334 -8.911
Br -0.662 -2.245 -0.532
Br -5.685 -2.856 -7.631
Br -7.204 -5.775 -6.247
Br -7.396 -4.646 -10.535
Br -10.422 -3.335 -0.543
Br -8.176 -8.304 -9.331
Br -5.747 -15.985 1.083
Br -9.704 -8.606 -5.596
Br -8.894 0.428 -6.263
Br -10.076 -5.114 -3.909
Br -9.203 -12.863 -0.044
Br -4.661 -17.552 -2.487
Br -5.996 -9.346 -6.130
Br -4.466 -12.385 -7.132
Br -8.121 -0.942 -9.795
Ga -3.992 -12.453 -9.417
Ga -11.037 1.419 -12.025
Ga -4.754 -17.734 -4.810
Ga -11.332 -3.554 -2.682
Ga -7.522 -7.827 -5.181
Ga -8.838 -13.394 -2.288
Ga -8.269 -8.488 -11.654
Ga -6.486 -2.613 -9.811
Sb -10.505 -12.683 -9.443
Sb -2.515 -4.060 -9.050
Sb -7.106 -3.923 -2.016
Sb -12.603 -11.812 -0.961
Sb -3.915 -5.671 -11.038
Sb -10.503 -12.833 -6.549
Sb -11.637 -10.486 -3.374
Sb -4.952 -3.412 -4.003
Sb -4.687 -0.028 -1.655
Sb -3.370 -5.987 -7.039
Sb -11.836 -6.120 -7.143
Sb -11.397 -9.654 0.581
Sb -3.305 -10.254 -4.036
Sb -5.244 -0.549 -4.476
Sb -4.742 -7.598 -9.024
Sb -12.213 -5.881 -10.032
Sb -7.719 -2.212 -4.298
Sb -10.459 -8.328 -1.823
Sb -10.274 -15.586 -9.592
Sb -10.658 -3.414 -10.030
Sb -8.012 -11.948 -7.995
Sb -3.117 -9.643 -1.185
Sb -7.521 0.186 -2.666
Sb -4.799 -12.680 -3.416
Sb -7.834 -14.128 -6.069
Sb -7.833 -13.946 -10.114
Sb -10.279 -3.656 -7.167
Sb -4.616 -12.069 -0.589
Sb -10.265 -15.734 -6.673
Sb -4.393 -2.892 -1.208
Sb -7.679 -16.112 -8.181
Sb -6.934 -1.512 -0.388
```

Calculated values
Energy relative to the elements, uncorrected in meV/atom: -446
Symmetry: No. 33
Total moment in μB per formula unit: 0.000

---

# 10
GaSbBr2 | meta-GGA SCAN | single point on PBEsol structure

```
8
Lattice="4.791 0.000 0.000 0.000 4.791 0.000 -2.395 -2.395 9.594" Properties=species:S:1:pos:R:3 pbc="T T T"
Sb 0.000 0.000 0.000
Sb 0.000 2.395 4.797
Br 3.628 1.198 2.399
Br -1.198 -1.232 7.196
Br 1.163 3.593 2.399
Br 1.198 1.232 7.196
Ga 2.395 0.000 4.797
Ga 2.395 2.395 0.000
```

Calculated values
Energy relative to the elements, uncorrected in meV/atom: 41
Symmetry: No. 122
Total moment in μB per formula unit: 0.000
Distance to the lowest polymorph of the same formula in meV per atom: 244.7

---

# 11
GaSbBr2 | meta-GGA SCAN | single point on PBEsol structure

```
4
Lattice="-1.761 3.106 0.516 -0.444 1.288 3.340 7.628 6.333 0.522" Properties=species:S:1:pos:R:3 pbc="T T T"
Br 0.172 5.777 3.640
Br 5.251 4.949 0.739
Sb 0.000 0.000 0.000
Ga 2.711 5.363 2.189
```

Calculated values
Energy relative to the elements, uncorrected in meV/atom: -204
Symmetry: No. 166
Total moment in μB per formula unit: 0.000
Distance to the lowest polymorph of the same formula in meV per atom: 0.0

---

# 12
ScGaBr3 | meta-GGA SCAN | single point on PBEsol structure

```
5
Lattice="-4.328 2.813 0.864 -0.519 -2.243 4.700 2.896 3.801 2.134" Properties=species:S:1:pos:R:3 pbc="T T T"
Br 1.448 1.900 1.067
Br -0.260 -1.122 2.350
Br -2.164 1.406 0.432
Ga 0.000 0.000 0.000
Sc -0.975 2.185 3.849
```

Calculated values
Energy relative to the elements, uncorrected in meV/atom: -352
Symmetry: No. 221
Total moment in μB per formula unit: 1.532

---

# 13
Sc3GaBr | meta-GGA SCAN | single point on PBEsol structure

```
5
Lattice="4.860 0.000 0.000 0.000 4.860 0.000 0.000 0.000 4.860" Properties=species:S:1:pos:R:3 pbc="T T T"
Sc 2.430 0.000 0.000
Sc 0.000 2.430 0.000
Sc 0.000 0.000 2.430
Ga 2.430 2.430 2.430
Br 0.000 0.000 0.000
```

Calculated values
Energy relative to the elements, uncorrected in meV/atom: -109
Symmetry: No. 221
Total moment in μB per formula unit: 0.000

---

# 14
GaSeBr7 | meta-GGA SCAN | single point on PBEsol structure

```
18
Lattice="6.389 0.000 0.000 0.000 6.511 0.084 0.000 3.236 14.636" Properties=species:S:1:pos:R:3 pbc="T T T"
Br 0.907 8.000 9.311
Br 5.189 3.148 10.739
Br 3.953 7.132 3.539
Br 4.122 3.950 5.303
Br 0.901 4.821 7.276
Br 0.849 1.574 5.365
Br 2.266 8.823 12.663
Br 5.482 3.127 1.951
Br 2.286 2.268 0.095
Br 4.102 7.142 7.455
Br 1.200 4.786 3.463
Br 2.435 5.495 10.815
Br 5.487 9.695 14.636
Br 5.539 6.448 12.725
Ga 0.034 6.997 7.379
Ga 6.355 5.359 14.655
Se 2.686 5.799 5.018
Se 3.703 4.162 12.294
```

Calculated values
Energy relative to the elements, uncorrected in meV/atom: -477
Symmetry: No. 7
Total moment in μB per formula unit: 0.000

---

# 15
GaSeBr3 | meta-GGA SCAN | single point on PBEsol structure

```
5
Lattice="-1.200 -4.211 -2.677 4.905 -1.501 0.163 -0.917 -2.520 4.375" Properties=species:S:1:pos:R:3 pbc="T T T"
Se 1.394 -4.116 0.931
Br -0.458 -1.260 2.188
Br 2.452 -0.751 0.082
Br -0.600 -2.105 -1.338
Ga 0.000 0.000 0.000
```

Calculated values
Energy relative to the elements, uncorrected in meV/atom: -2
Symmetry: No. 221
Total moment in μB per formula unit: 2.498

---

# 16
Ga2TcSeBr | meta-GGA SCAN | single point on PBEsol structure

```
5
Lattice="-1.877 1.145 -4.209 -3.468 -4.022 0.452 -3.456 3.253 2.426" Properties=species:S:1:pos:R:3 pbc="T T T"
Br 0.000 0.000 0.000
Ga -1.728 1.626 1.213
Ga -1.734 -2.011 0.226
Se -4.401 0.188 -0.665
Tc -0.938 0.573 -2.104
```

Calculated values
Energy relative to the elements, uncorrected in meV/atom: 1051
Symmetry: No. 123
Total moment in μB per formula unit: 3.983

---

# 17
GaTeSe2Br | meta-GGA SCAN | single point on PBEsol structure

```
5
Lattice="-0.417 -4.202 2.362 -2.192 -2.032 -4.001 4.467 -1.415 -1.728" Properties=species:S:1:pos:R:3 pbc="T T T"
Te 0.929 -3.824 -1.684
Se -1.096 -1.016 -2.001
Se 2.233 -0.707 -0.864
Ga 0.000 0.000 0.000
Br -0.208 -2.101 1.181
```

Calculated values
Energy relative to the elements, uncorrected in meV/atom: 202
Symmetry: No. 123
Total moment in μB per formula unit: 0.000

---

# 18
TiGaSeBr2 | meta-GGA SCAN | single point on PBEsol structure

```
5
Lattice="-0.818 2.290 4.268 -4.564 -2.287 0.352 2.151 -3.906 2.508" Properties=species:S:1:pos:R:3 pbc="T T T"
Ga -1.615 -1.952 3.564
Br -2.282 -1.143 0.176
Br 1.076 -1.953 1.254
Ti 0.000 0.000 0.000
Se -0.409 1.145 2.134
```

Calculated values
Energy relative to the elements, uncorrected in meV/atom: -743
Symmetry: No. 123
Total moment in μB per formula unit: 1.000

---

# 19
TlGaSe2Br | meta-GGA SCAN | single point on PBEsol structure

```
5
Lattice="-1.391 -3.469 -3.704 0.485 -3.914 3.483 -5.415 0.621 1.452" Properties=species:S:1:pos:R:3 pbc="T T T"
Ga -3.161 -3.381 0.616
Se -0.696 -1.734 -1.852
Se 0.243 -1.957 1.742
Br -2.708 0.311 0.726
Tl 0.000 0.000 0.000
```

Calculated values
Energy relative to the elements, uncorrected in meV/atom: 202
Symmetry: No. 123
Total moment in μB per formula unit: 0.000

---

# 20
YGaSe2Br | meta-GGA SCAN | single point on PBEsol structure

```
5
Lattice="-0.269 1.860 4.536 -2.631 -3.941 1.460 4.194 -2.351 1.213" Properties=species:S:1:pos:R:3 pbc="T T T"
Se -1.316 -1.971 0.730
Se 2.097 -1.175 0.606
Ga 0.000 0.000 0.000
Br -0.135 0.930 2.268
Y 0.647 -2.216 3.604
```

Calculated values
Energy relative to the elements, uncorrected in meV/atom: -686
Symmetry: No. 123
Total moment in μB per formula unit: 0.000

---

# 21
GaTeBr | meta-GGA SCAN | single point on PBEsol structure

```
6
Lattice="-3.853 -0.897 1.011 1.066 -5.711 -1.004 4.038 -0.434 6.759" Properties=species:S:1:pos:R:3 pbc="T T T"
Ga 1.676 -4.980 1.965
Ga -0.289 -2.780 4.675
Te -1.159 -1.231 2.735
Te 2.065 -3.957 4.357
Br 0.906 -3.317 0.507
Br -0.063 -1.534 6.644
```

Calculated values
Energy relative to the elements, uncorrected in meV/atom: -614
Symmetry: No. 36
Total moment in μB per formula unit: 0.000

---

# 22
Ga2TeBr | meta-GGA SCAN | single point on PBEsol structure

```
4
Lattice="5.114 0.000 0.000 2.557 4.428 0.000 2.557 1.476 4.175" Properties=species:S:1:pos:R:3 pbc="T T T"
Ga 7.670 4.428 3.131
Ga 2.557 1.476 1.044
Te 5.114 2.952 2.088
Br 0.000 0.000 0.000
```

Calculated values
Energy relative to the elements, uncorrected in meV/atom: -60
Symmetry: No. 225
Total moment in μB per formula unit: 0.000

---

# 23
TiZnGaBr2 | meta-GGA SCAN | single point on PBEsol structure

```
5
Lattice="4.920 0.000 0.000 0.000 4.920 0.000 0.000 0.000 5.304" Properties=species:S:1:pos:R:3 pbc="T T T"
Ti 0.000 0.000 0.000
Ga 0.000 0.000 2.652
Br 0.000 2.460 0.000
Br 2.460 0.000 0.000
Zn 2.460 2.460 2.652
```

Calculated values
Energy relative to the elements, uncorrected in meV/atom: -146
Symmetry: No. 123
Total moment in μB per formula unit: 1.121

---

# 24
GaWBr2 | meta-GGA SCAN | single point on PBEsol structure

```
4
Lattice="-0.259 -1.510 -2.718 2.307 0.152 -2.095 4.880 -8.449 2.437" Properties=species:S:1:pos:R:3 pbc="T T T"
Br 3.861 -6.509 1.457
Br 3.066 -3.298 -3.833
Ga 3.464 -4.903 -1.188
W 0.000 0.000 0.000
```

Calculated values
Energy relative to the elements, uncorrected in meV/atom: 593
Symmetry: No. 166
Total moment in μB per formula unit: 0.000